VASP calculation (GGA-PBE) on an optimized crystal structure of RbLaP2O6.

Computed properties:
Raw formation energy, meV per atom: -2292
Electronic total energy, eV per atom: -6.938

Cell and atoms, written as POSCAR:
```
RbLaP2O6
1.0
4.5916 -5.3004 0.0000
4.5916 5.3004 0.0000
-2.5956 0.0000 6.9965
Rb La P O
2 2 4 12
direct
0.1623 0.8377 0.7500 Rb
0.8377 0.1623 0.2500 Rb
0.4027 0.5973 0.2500 La
0.5973 0.4027 0.7500 La
0.1343 0.3245 0.7787 P
0.3245 0.1343 0.2787 P
0.6755 0.8657 0.7213 P
0.8657 0.6755 0.2213 P
0.0672 0.6145 0.2937 O
0.2042 0.2177 0.1196 O
0.2177 0.2042 0.6196 O
0.3041 0.5154 0.8960 O
0.3855 0.9328 0.2063 O
0.4846 0.6959 0.6040 O
0.5154 0.3041 0.3960 O
0.6145 0.0672 0.7937 O
0.6959 0.4846 0.1040 O
0.7823 0.7958 0.3804 O
0.7958 0.7823 0.8804 O
0.9328 0.3855 0.7063 O
```